# TeOsPd2 (PBE, relaxed)
# ΔE_f (raw) (meV/atom): 468
# Calculated total energy (eV/cell): -91.54
# Total moment (μB per formula unit): 0.0
data_TeOsPd2
_chemical_formula_sum 'Te4 Os4 Pd8'
_cell_length_a 3.861
_cell_length_b 3.861
_cell_length_c 19.202
_cell_angle_alpha 90.00
_cell_angle_beta 90.00
_cell_angle_gamma 90.00
_symmetry_space_group_name_H-M 'I -4 2 d'
_symmetry_Int_Tables_number 122
_symmetry_space_group_name_Hall 'I -4 2bw'
loop_
_atom_site_label
_atom_site_type_symbol
_atom_site_fract_x
_atom_site_fract_y
_atom_site_fract_z
_atom_site_occupancy
Te1 Te 0.000 0.000 0.000 1
Os1 Os 0.000 0.000 0.500 1
Pd1 Pd 0.241 0.250 0.625 1